Density functional theory data (PBE-GGA) for crystalline NdEr2Tm12 at its relaxed geometry.

Computed properties:
calculated total energy = -4.35 eV per atom
E_form = 0.158 eV/atom
spin magnetization = 0.0 μB per formula unit

Geometry as POSCAR:
```
NdEr2Tm12
1.0
8.3651 0.0000 0.0000
0.0000 3.4453 0.0000
-3.6743 0.0000 16.3056
Nd Er Tm
1 2 12
Direct
0.0000 0.0000 0.0000
0.0041 0.0000 0.4003
0.9959 0.0000 0.5997
0.0023 0.0000 0.2048
0.3080 0.5000 0.7236
0.3131 0.5000 0.9291
0.3159 0.5000 0.1368
0.3161 0.5000 0.3488
0.3456 0.0000 0.5425
0.6544 0.0000 0.4575
0.6839 0.5000 0.6512
0.6841 0.5000 0.8632
0.6869 0.5000 0.0709
0.6920 0.5000 0.2764
0.9977 0.0000 0.7952
```